1.
This record from Alexandria describes ScAlSeBr2 after structural relaxation. The functional is PBE.

Computed properties:
Formation energy (no corrections) ... -0.38 eV/atom
Polymorph energy (0 for the lowest one) ... 476.8 meV per atom
Space group ... P4/mmm (123)
N(E_F) ... 4.638 states/eV/cell

Structure (POSCAR):
```
ScAlSeBr2
1.0
-0.892 -4.772 1.356
0.994 -1.522 -4.701
4.927 -0.572 1.227
Sc Se Br Al
1 1 2 1
Direct
0.500 0.500 0.500 Sc
0.000 0.000 0.500 Se
0.000 0.500 0.000 Br
0.500 0.000 0.000 Br
0.000 0.000 0.000 Al
```

***

2.
This record from Alexandria describes Pm6NdTm2 after structural relaxation. The functional is PBE.

Computed properties:
Polymorph energy (0 for the lowest one) ... 0.0 meV per atom
Space group ... P-1 (2)
Energy relative to the elements ... 0.018 eV per atom
N(E_F) ... 13.183 states/eV/cell

Structure (POSCAR):
```
Pm6NdTm2
1.0
3.601 0.290 0.279
-0.022 6.217 -6.307
0.777 0.617 12.960
Pm Nd Tm
6 1 2
Direct
0.891 0.554 0.218 Pm
0.109 0.446 0.782 Pm
0.667 0.666 0.667 Pm
0.779 0.106 0.441 Pm
0.221 0.894 0.559 Pm
0.333 0.334 0.333 Pm
0.000 0.000 0.000 Nd
0.445 0.776 0.110 Tm
0.555 0.224 0.890 Tm
```

***

3.
This record from Alexandria describes Pm3Tm6Sc2 after structural relaxation. The functional is PBE.

Computed properties:
Space group ... R-3m (166)
Energy relative to the elements ... 0.116 eV per atom
N(E_F) ... 20.787 states/eV/cell

Structure (POSCAR):
```
Pm3Tm6Sc2
1.0
5.545 0.000 0.340
2.762 4.808 0.340
2.002 1.159 12.730
Pm Tm Sc
3 6 2
Direct
0.000 0.000 0.000 Pm
0.908 0.908 0.275 Pm
0.092 0.092 0.725 Pm
0.718 0.718 0.847 Tm
0.282 0.282 0.153 Tm
0.814 0.814 0.557 Tm
0.186 0.186 0.443 Tm
0.542 0.542 0.373 Tm
0.458 0.458 0.627 Tm
0.371 0.371 0.887 Sc
0.629 0.629 0.113 Sc
```

***

4.
This record from Alexandria describes Ti4RhC after structural relaxation. The functional is PBE.

Computed properties:
Space group ... C2/c (15)
Energy relative to the elements ... -0.483 eV per atom
N(E_F) ... 9.609 states/eV/cell

Structure (POSCAR):
```
Ti4RhC
1.0
4.833 0.000 0.000
0.000 5.869 0.387
-2.416 -1.885 6.074
Ti Rh C
8 2 2
Direct
0.235 0.182 0.374 Ti
0.139 0.682 0.374 Ti
0.642 0.941 0.202 Ti
0.560 0.441 0.202 Ti
0.358 0.059 0.798 Ti
0.440 0.559 0.798 Ti
0.765 0.818 0.626 Ti
0.861 0.318 0.626 Ti
0.062 0.750 0.000 Rh
0.938 0.250 0.000 Rh
0.500 0.500 0.500 C
0.000 0.000 0.500 C
```

***

5.
This record from Alexandria describes PmThZr after structural relaxation. The functional is PBE.

Computed properties:
Polymorph energy (0 for the lowest one) ... 88.3 meV per atom
Space group ... P3m1 (156)
Energy relative to the elements ... 0.157 eV per atom
N(E_F) ... 4.216 states/eV/cell

Structure (POSCAR):
```
PmThZr
1.0
-2.778 1.724 -1.043
-2.992 -2.497 3.842
2.511 4.729 1.132
Zr Th Pm
1 1 1
Direct
0.166 0.333 0.667 Zr
0.667 0.667 0.333 Th
0.168 0.000 0.000 Pm
```

***

6.
This record from Alexandria describes SbPb2Se2 after structural relaxation. The functional is PBE.

Computed properties:
Formation energy (no corrections) ... -0.14 eV/atom
Polymorph energy (0 for the lowest one) ... 0.0 meV per atom
Space group ... P4/mbm (127)
N(E_F) ... 8.281 states/eV/cell

Structure (POSCAR):
```
SbPb2Se2
1.0
8.291 0.000 0.000
0.000 8.291 0.000
0.000 0.000 4.152
Pb Sb Se
4 2 4
Direct
0.161 0.661 0.500 Pb
0.661 0.839 0.500 Pb
0.839 0.339 0.500 Pb
0.339 0.161 0.500 Pb
0.000 0.000 0.000 Sb
0.500 0.500 0.000 Sb
0.344 0.844 0.000 Se
0.844 0.656 0.000 Se
0.656 0.156 0.000 Se
0.156 0.344 0.000 Se
```